1.
This record from OQMD describes a relaxed Cu9Ag crystal. The functional is PBE.

Structure (CIF):
```
data_Cu9Ag
_symmetry_space_group_name_H-M 'C m m m'
_symmetry_Int_Tables_number 65
_symmetry_space_group_name_Hall '-C 2 2'
_cell_length_a 3.688
_cell_length_b 18.249
_cell_length_c 3.687
_cell_angle_alpha 90.00
_cell_angle_beta 90.00
_cell_angle_gamma 90.00
loop_
_atom_site_label
_atom_site_type_symbol
_atom_site_fract_x
_atom_site_fract_y
_atom_site_fract_z
Cu1 Cu 0.000 0.000 0.000
Cu2 Cu 0.000 0.106 0.500
Cu3 Cu 0.000 0.202 0.000
Cu4 Cu 0.000 0.298 0.500
Cu5 Cu 0.000 0.394 0.000
Ag1 Ag 0.000 0.500 0.500
```

Results
**Energy above the most stable polymorph in this dataset**: 0.9 meV/atom
**Formation energy from the elements**: 35 kJ/mol of formula units

=====

2.
This record from OQMD describes a relaxed GdNpPd crystal. The functional is PBE.

Structure (CIF):
```
data_GdNpPd
_symmetry_space_group_name_H-M 'F -4 3 m'
_symmetry_Int_Tables_number 216
_symmetry_space_group_name_Hall 'F -4 2 3'
_cell_length_a 6.880
_cell_length_b 6.880
_cell_length_c 6.880
_cell_angle_alpha 90.00
_cell_angle_beta 90.00
_cell_angle_gamma 90.00
loop_
_atom_site_label
_atom_site_type_symbol
_atom_site_fract_x
_atom_site_fract_y
_atom_site_fract_z
Gd1 Gd 0.000 0.000 0.000
Np1 Np 0.000 0.000 0.500
Pd1 Pd 0.250 0.250 0.250
```

Results
**Magnetization**: 1.786 μB/atom
**Formation energy from the elements**: 14 kJ/mol of formula units

=====

3.
This record from OQMD describes a relaxed CsFe4As3 crystal. The functional is PBE.

Structure (CIF):
```
data_CsFe4As3
_symmetry_space_group_name_H-M 'P 4/m m m'
_symmetry_Int_Tables_number 123
_symmetry_space_group_name_Hall '-P 4 2'
_cell_length_a 3.723
_cell_length_b 3.723
_cell_length_c 10.884
_cell_angle_alpha 90.00
_cell_angle_beta 90.00
_cell_angle_gamma 90.00
loop_
_atom_site_label
_atom_site_type_symbol
_atom_site_fract_x
_atom_site_fract_y
_atom_site_fract_z
Cs1 Cs 0.000 0.000 0.000
Fe1 Fe 0.000 0.500 0.364
As1 As 0.000 0.000 0.500
As2 As 0.500 0.500 0.228
```

Results
**Magnetization**: 0.776 μB/atom
**Calculated total energy**: -6.13 eV per atom

=====

4.
This record from OQMD describes a relaxed InPIrO crystal. The functional is PBE.

Structure (CIF):
```
data_InPIrO
_symmetry_space_group_name_H-M 'P 4/n m m'
_symmetry_Int_Tables_number 129
_cell_length_a 3.964
_cell_length_b 3.964
_cell_length_c 8.503
_cell_angle_alpha 90.00
_cell_angle_beta 90.00
_cell_angle_gamma 90.00
loop_
_symmetry_equiv_pos_as_xyz
'x,y,z'
'-x,-y,-z'
'-y+1/2,x,z'
'y+1/2,-x,-z'
'-x+1/2,-y+1/2,z'
'x+1/2,y+1/2,-z'
'y,-x+1/2,z'
'-y,x+1/2,-z'
'x+1/2,-y,-z'
'-x+1/2,y,z'
'-y,-x,-z'
'y,x,z'
'-x,y+1/2,-z'
'x,-y+1/2,z'
'y+1/2,x+1/2,-z'
'-y+1/2,-x+1/2,z'
loop_
_atom_site_label
_atom_site_type_symbol
_atom_site_fract_x
_atom_site_fract_y
_atom_site_fract_z
In1 In 0.250 0.250 0.116
P1 P 0.250 0.250 0.652
Ir1 Ir 0.250 0.750 0.500
O1 O 0.250 0.750 0.000
```

Results
**Energy above the most stable polymorph in this dataset**: 0.0 meV/atom
**Magnetization**: 0.002 μB/atom